# 1
Computed, not measured: an optimized crystal structure of PuTh6N8 at the GGA-PBE level of DFT.

a = 7.242 Å, b = 7.242 Å, c = 7.242 Å
α = 60.00°, β = 60.00°, γ = 60.00°
Fractional coordinates of all 15 atoms:
Pu  0.000  0.000  0.000
Th  0.000  0.000  0.500
Th  0.000  0.500  0.000
Th  0.000  0.500  0.500
Th  0.500  0.000  0.000
Th  0.500  0.000  0.500
Th  0.500  0.500  0.000
N  0.227  0.227  0.773
N  0.227  0.773  0.227
N  0.227  0.773  0.773
N  0.250  0.250  0.250
N  0.750  0.750  0.750
N  0.773  0.227  0.227
N  0.773  0.227  0.773
N  0.773  0.773  0.227

Values from the calculation:
formation energy from raw total energies: -1.388 eV per atom
DOS at the Fermi energy: 8.8 states/eV per cell

=====

# 2
Computed, not measured: an optimized crystal structure of In2FeOs at the GGA-PBE level of DFT.

a = 4.597 Å, b = 4.597 Å, c = 4.597 Å
α = 60.00°, β = 60.00°, γ = 60.00°
Fractional coordinates of all 4 atoms:
In  0.000  0.000  0.000
In  0.250  0.250  0.250
Fe  0.750  0.750  0.750
Os  0.500  0.500  0.500

Values from the calculation:
energy above the most stable polymorph in this dataset: 0.267 eV per atom
DOS at the Fermi energy: 2.9 states/eV per cell
E_form: 0.596 eV/atom

=====

# 3
Computed, not measured: an optimized crystal structure of BSe2F2 at the GGA-PBE level of DFT.

a = 6.427 Å, b = 6.427 Å, c = 6.427 Å
α = 150.10°, β = 150.10°, γ = 42.80°
Fractional coordinates of all 5 atoms:
B  0.000  0.000  0.000
Se  0.395  0.395  0.000
Se  0.605  0.605  0.000
F  0.250  0.750  0.500
F  0.750  0.250  0.500

Values from the calculation:
energy above the most stable polymorph in this dataset: 0.375 eV per atom
formation energy from raw total energies: 0.314 eV per atom
DOS at the Fermi energy: 1.4 states/eV per cell

=====

# 4
Computed, not measured: an optimized crystal structure of TlAgSn at the GGA-PBE level of DFT.

a = 6.770 Å, b = 6.770 Å, c = 6.770 Å
α = 150.39°, β = 150.39°, γ = 42.38°
Fractional coordinates of all 3 atoms:
Tl  0.000  0.000  0.000
Ag  0.666  0.666  0.000
Sn  0.304  0.304  0.000

Values from the calculation:
energy above the most stable polymorph in this dataset: 0.059 eV per atom
DOS at the Fermi energy: 1.9 states/eV per cell
E_form: 0.091 eV/atom

=====

# 5
Computed, not measured: an optimized crystal structure of Tb3HgO6 at the GGA-PBE level of DFT.

a = 7.237 Å, b = 7.237 Å, c = 5.687 Å
α = 90.00°, β = 90.00°, γ = 102.36°
Fractional coordinates of all 20 atoms:
Tb  0.100  0.900  0.500
Tb  0.182  0.410  0.444
Tb  0.410  0.182  0.944
Tb  0.590  0.818  0.444
Tb  0.818  0.590  0.944
Tb  0.900  0.100  0.000
Hg  0.343  0.657  0.940
Hg  0.657  0.343  0.440
O  0.071  0.601  0.709
O  0.141  0.177  0.723
O  0.177  0.141  0.223
O  0.280  0.720  0.292
O  0.399  0.929  0.709
O  0.477  0.523  0.652
O  0.523  0.477  0.152
O  0.601  0.071  0.209
O  0.720  0.280  0.792
O  0.823  0.859  0.723
O  0.859  0.823  0.223
O  0.929  0.399  0.209

Values from the calculation:
formation energy from raw total energies: -2.640 eV per atom
DOS at the Fermi energy: 17.6 states/eV per cell

=====

# 6
Computed, not measured: an optimized crystal structure of EuSnGe at the GGA-PBE level of DFT.

a = 5.002 Å, b = 5.002 Å, c = 5.002 Å
α = 60.00°, β = 60.00°, γ = 60.00°
Fractional coordinates of all 3 atoms:
Eu  0.000  0.000  0.000
Sn  0.500  0.500  0.500
Ge  0.750  0.750  0.750

Values from the calculation:
energy above the most stable polymorph in this dataset: 0.209 eV per atom
DOS at the Fermi energy: 2.3 states/eV per cell
E_form: -0.311 eV/atom

=====

# 7
Computed, not measured: an optimized crystal structure of ScRe2Br at the GGA-PBE level of DFT.

a = 9.037 Å, b = 9.037 Å, c = 9.037 Å
α = 20.05°, β = 20.05°, γ = 20.05°
Fractional coordinates of all 4 atoms:
Sc  0.000  0.000  0.000
Re  0.483  0.483  0.483
Re  0.750  0.750  0.750
Br  0.258  0.258  0.258

Values from the calculation:
energy above the most stable polymorph in this dataset: 0.257 eV per atom
formation energy from raw total energies: 0.179 eV per atom
DOS at the Fermi energy: 3.6 states/eV per cell

=====

# 8
Computed, not measured: an optimized crystal structure of KCuSiF6 at the GGA-PBE level of DFT.

a = 5.488 Å, b = 5.488 Å, c = 5.322 Å
α = 90.03°, β = 90.03°, γ = 120.08°
Fractional coordinates of all 9 atoms:
K  0.000  0.000  0.000
Cu  0.666  0.334  0.500
Si  0.333  0.667  0.500
F  0.073  0.414  0.314
F  0.073  0.659  0.685
F  0.340  0.414  0.686
F  0.341  0.927  0.315
F  0.586  0.660  0.314
F  0.586  0.927  0.686

Values from the calculation:
formation energy from raw total energies: -2.634 eV per atom

=====

# 9
Computed, not measured: an optimized crystal structure of LaDyErTl at the GGA-PBE level of DFT.

a = 5.556 Å, b = 5.556 Å, c = 5.556 Å
α = 60.00°, β = 60.00°, γ = 60.00°
Fractional coordinates of all 4 atoms:
La  0.000  0.000  0.000
Dy  0.500  0.500  0.500
Er  0.750  0.750  0.750
Tl  0.250  0.250  0.250

Values from the calculation:
energy above the most stable polymorph in this dataset: 0.000 eV per atom
DOS at the Fermi energy: 5.4 states/eV per cell
E_form: -0.069 eV/atom

=====

# 10
Computed, not measured: an optimized crystal structure of Y3Al8Cu3 at the GGA-PBE level of DFT.

a = 8.108 Å, b = 8.108 Å, c = 8.108 Å
α = 149.30°, β = 105.74°, γ = 82.46°
Fractional coordinates of all 14 atoms:
Y  0.000  0.000  0.000
Y  0.308  0.308  0.000
Y  0.692  0.692  0.000
Al  0.023  0.659  0.364
Al  0.168  0.879  0.289
Al  0.295  0.659  0.636
Al  0.409  0.121  0.289
Al  0.591  0.879  0.711
Al  0.705  0.341  0.364
Al  0.832  0.121  0.711
Al  0.977  0.341  0.636
Cu  0.295  0.500  0.795
Cu  0.500  0.000  0.500
Cu  0.705  0.500  0.205

Values from the calculation:
DOS at the Fermi energy: 5.9 states/eV per cell
E_form: -0.420 eV/atom

=====

# 11
Computed, not measured: an optimized crystal structure of CrCd2Cl at the GGA-PBE level of DFT.

a = 8.769 Å, b = 8.769 Å, c = 8.769 Å
α = 22.70°, β = 22.70°, γ = 22.70°
Fractional coordinates of all 4 atoms:
Cr  0.000  0.000  0.000
Cd  0.251  0.251  0.251
Cd  0.749  0.749  0.749
Cl  0.500  0.500  0.500

Values from the calculation:
energy above the most stable polymorph in this dataset: 0.068 eV per atom
formation energy from raw total energies: 0.041 eV per atom
DOS at the Fermi energy: 1.4 states/eV per cell

=====

# 12
Computed, not measured: an optimized crystal structure of Th2BeGa3 at the GGA-PBE level of DFT.

a = 4.158 Å, b = 4.270 Å, c = 7.219 Å
α = 90.00°, β = 90.00°, γ = 90.00°
Fractional coordinates of all 6 atoms:
Th  0.000  0.000  0.000
Th  0.500  0.000  0.491
Be  0.500  0.500  0.167
Ga  0.000  0.500  0.313
Ga  0.000  0.500  0.659
Ga  0.500  0.500  0.848

Values from the calculation:
DOS at the Fermi energy: 2.7 states/eV per cell
E_form: -0.533 eV/atom

=====

# 13
Computed, not measured: an optimized crystal structure of LaMn4Tc at the GGA-PBE level of DFT.

a = 5.017 Å, b = 5.017 Å, c = 5.017 Å
α = 60.00°, β = 60.00°, γ = 60.00°
Fractional coordinates of all 6 atoms:
La  0.000  0.000  0.000
Mn  0.126  0.625  0.625
Mn  0.625  0.126  0.625
Mn  0.625  0.625  0.126
Mn  0.625  0.625  0.625
Tc  0.250  0.250  0.250

Values from the calculation:
DOS at the Fermi energy: 9.2 states/eV per cell
E_form: 0.423 eV/atom

=====

# 14
Computed, not measured: an optimized crystal structure of Dy5SN4 at the GGA-PBE level of DFT.

a = 12.768 Å, b = 12.768 Å, c = 12.768 Å
α = 163.83°, β = 163.83°, γ = 22.94°
Fractional coordinates of all 10 atoms:
Dy  0.000  0.000  0.000
Dy  0.202  0.202  0.000
Dy  0.391  0.391  0.000
Dy  0.609  0.609  0.000
Dy  0.798  0.798  0.000
S  0.500  0.500  0.000
N  0.104  0.104  0.000
N  0.298  0.298  0.000
N  0.702  0.702  0.000
N  0.896  0.896  0.000

Values from the calculation:
formation energy from raw total energies: -1.670 eV per atom
DOS at the Fermi energy: 2.0 states/eV per cell

=====

# 15
Computed, not measured: an optimized crystal structure of YNbPd14 at the GGA-PBE level of DFT.

a = 5.712 Å, b = 5.712 Å, c = 7.867 Å
α = 90.00°, β = 90.00°, γ = 90.00°
Fractional coordinates of all 16 atoms:
Y  0.000  0.000  0.000
Nb  0.500  0.500  0.000
Pd  0.000  0.000  0.500
Pd  0.000  0.500  0.000
Pd  0.000  0.500  0.500
Pd  0.256  0.256  0.250
Pd  0.256  0.256  0.750
Pd  0.256  0.744  0.250
Pd  0.256  0.744  0.750
Pd  0.500  0.000  0.000
Pd  0.500  0.000  0.500
Pd  0.500  0.500  0.500
Pd  0.744  0.256  0.250
Pd  0.744  0.256  0.750
Pd  0.744  0.744  0.250
Pd  0.744  0.744  0.750

Values from the calculation:
DOS at the Fermi energy: 22.0 states/eV per cell
E_form: -0.321 eV/atom

=====

# 16
Computed, not measured: an optimized crystal structure of CoRu2Pt at the GGA-PBE level of DFT.

a = 8.850 Å, b = 8.850 Å, c = 8.850 Å
α = 17.58°, β = 17.58°, γ = 17.58°
Fractional coordinates of all 4 atoms:
Co  0.000  0.000  0.000
Ru  0.254  0.254  0.254
Ru  0.506  0.506  0.506
Pt  0.749  0.749  0.749

Values from the calculation:
energy above the most stable polymorph in this dataset: 0.031 eV per atom
DOS at the Fermi energy: 4.2 states/eV per cell
E_form: 0.079 eV/atom

=====

# 17
Computed, not measured: an optimized crystal structure of K4Rh at the GGA-PBE level of DFT.

a = 6.718 Å, b = 6.718 Å, c = 6.718 Å
α = 109.47°, β = 109.47°, γ = 109.47°
Fractional coordinates of all 5 atoms:
K  0.000  0.000  0.500
K  0.000  0.500  0.000
K  0.500  0.000  0.000
K  0.500  0.500  0.500
Rh  0.000  0.000  0.000

Values from the calculation:
energy above the most stable polymorph in this dataset: 0.024 eV per atom
DOS at the Fermi energy: 7.2 states/eV per cell
E_form: 0.445 eV/atom

=====

# 18
Computed, not measured: an optimized crystal structure of MnCr2Te at the GGA-PBE level of DFT.

a = 8.125 Å, b = 8.125 Å, c = 8.125 Å
α = 22.28°, β = 22.28°, γ = 22.28°
Fractional coordinates of all 4 atoms:
Mn  0.000  0.000  0.000
Cr  0.479  0.479  0.479
Cr  0.741  0.741  0.741
Te  0.240  0.240  0.240

Values from the calculation:
formation energy from raw total energies: 0.545 eV per atom
DOS at the Fermi energy: 3.2 states/eV per cell

=====

# 19
Computed, not measured: an optimized crystal structure of Mn3Al5 at the GGA-PBE level of DFT.

a = 7.225 Å, b = 7.225 Å, c = 7.221 Å
α = 96.70°, β = 96.70°, γ = 139.97°
Fractional coordinates of all 16 atoms:
Mn  0.177  0.823  0.000
Mn  0.250  0.750  0.500
Mn  0.324  0.324  0.647
Mn  0.676  0.676  0.353
Mn  0.750  0.250  0.500
Mn  0.823  0.177  0.000
Al  0.071  0.270  0.341
Al  0.229  0.571  0.801
Al  0.250  0.250  0.000
Al  0.270  0.071  0.341
Al  0.429  0.771  0.199
Al  0.571  0.229  0.801
Al  0.730  0.929  0.659
Al  0.750  0.750  0.000
Al  0.771  0.429  0.199
Al  0.929  0.730  0.659

Values from the calculation:
DOS at the Fermi energy: 8.2 states/eV per cell
E_form: -0.116 eV/atom

=====

# 20
Computed, not measured: an optimized crystal structure of UTiO5 at the GGA-PBE level of DFT.

a = 5.442 Å, b = 5.442 Å, c = 5.442 Å
α = 139.81°, β = 107.37°, γ = 86.42°
Fractional coordinates of all 7 atoms:
U  0.000  0.000  0.000
Ti  0.500  0.500  0.000
O  0.196  0.500  0.696
O  0.238  0.238  0.000
O  0.500  0.000  0.500
O  0.762  0.762  0.000
O  0.804  0.500  0.304

Values from the calculation:
formation energy from raw total energies: -3.006 eV per atom
DOS at the Fermi energy: 0.0 states/eV per cell